VASP calculation (PBE with a Hubbard U) on a geometry-optimized CdCo2O structure.

Cell: 6.0744 6.0744 6.0744 Å, 90.00 90.00 90.00°
With the nearest neighbours (Å) after each atom.
Space group Fm-3m (No. 225)
Asymmetric unit:
Cd  0.0000  0.0000  0.0000 x4  8 Co 2.63
Co  0.2500  0.2500  0.2500 x8  4 Cd 2.63, 4 O 2.63
O  0.0000  0.0000  0.5000 x4  8 Co 2.63

Properties
The total moment is 16.38 Bohr magnetons per cell. The value obtained for the excess energy over the best structure of this formula in the dataset is 72.6 kJ/mol of atoms. The calculation puts the density of states at the Fermi level at 1.35 states/eV/atom.